# 1
## Mg4Zn5Pd3 (GGA-PBE)

Data for a geometry-optimized Mg4Zn5Pd3 structure.

a b c (Å): 5.354 5.354 8.168
angles (deg): 90.00 90.00 120.00
Element x y z (fractional)
Mg 0.667 0.333 0.295
Mg 0.667 0.333 0.705
Zn 0.655 0.827 0.500
Pd 0.830 0.660 0.000
Zn 0.000 0.000 0.248
Pd 0.340 0.170 0.000
Mg 0.333 0.667 0.173
Zn 0.173 0.827 0.500
Pd 0.830 0.170 0.000
Zn 0.000 0.000 0.752
Zn 0.173 0.345 0.500
Mg 0.333 0.667 0.827

Computed properties:
Space-group type: P-6m2 (187)
Raw total energy: -2.681 eV/atom
ρ: 6.088 Mg/m³
Crystal system: hexagonal

=====

# 2
## NdErGeCl2 (GGA-PBE)

Data for a geometry-optimized NdErGeCl2 structure.

a b c (Å): 4.142 4.142 9.731
angles (deg): 90.00 90.00 120.00
Element x y z (fractional)
Nd 0.667 0.333 0.668
Cl 0.000 0.000 0.836
Cl 0.667 0.333 0.175
Ge 0.333 0.667 0.492
Er 0.000 0.000 0.330

Computed properties:
Space-group type: P3m1 (156)
Raw total energy: -5.146 eV/atom
ρ: 5.227 Mg/m³
Crystal system: trigonal

=====

# 3
## NdHoAg (GGA-PBE)

Data for a geometry-optimized NdHoAg structure.

a b c (Å): 4.984 4.984 4.984
angles (deg): 60.00 60.00 60.00
Element x y z (fractional)
Ag 0.250 0.250 0.250
Ho 0.750 0.750 0.750
Nd 0.000 0.000 0.000

Computed properties:
Space-group type: F-43m (216)
Raw total energy: -3.500 eV/atom
ρ: 7.913 Mg/m³
Formation energy from the elements: 0.5544 eV/atom
Crystal system: cubic

=====

# 4
## NaCuTcS3 (GGA-PBE)

Data for a geometry-optimized NaCuTcS3 structure.

a b c (Å): 12.594 3.603 9.621
angles (deg): 90.00 90.00 90.00
Last column: magnetic moment on the atom in μB.
Element x y z (fractional)
S 0.917 0.250 0.439  -0.01
S 0.603 0.250 0.622  -0.01
S 0.583 0.750 0.939  -0.01
S 0.103 0.250 0.878  -0.01
Tc 0.007 0.750 0.322  0.12
Cu 0.515 0.250 0.403  0.01
Cu 0.015 0.250 0.097  0.01
S 0.897 0.750 0.122  -0.01
Na 0.261 0.250 0.560  0.00
Cu 0.985 0.750 0.903  0.01
Tc 0.493 0.250 0.822  0.12
S 0.132 0.250 0.271  -0.01
Tc 0.507 0.750 0.178  0.12
S 0.368 0.750 0.771  -0.01
S 0.632 0.250 0.229  -0.01
S 0.083 0.750 0.561  -0.01
S 0.417 0.250 0.061  -0.01
Na 0.761 0.250 0.940  0.00
Na 0.739 0.750 0.440  0.00
Na 0.239 0.750 0.060  0.00
Cu 0.485 0.750 0.597  0.01
S 0.868 0.750 0.729  -0.01
Tc 0.993 0.250 0.678  0.12
S 0.397 0.750 0.378  -0.01

Computed properties:
Space-group type: Pnma (62)
Raw total energy: -5.134 eV/atom
ρ: 4.272 Mg/m³
Crystal system: orthorhombic
Energy above the lowest structure with this stoichiometry: 0.000 eV/atom

=====

# 5
## SmTlZnSe3 (GGA-PBE)

Data for a geometry-optimized SmTlZnSe3 structure.

a b c (Å): 11.765 4.321 12.570
angles (deg): 90.00 90.00 90.00
Element x y z (fractional)
Tl 0.831 0.500 0.998
Se 0.956 0.000 0.165
Se 0.397 0.500 0.939
Zn 0.750 0.000 0.201
Tl 0.669 0.000 0.498
Sm 0.023 0.000 0.675
Sm 0.523 0.000 0.825
Zn 0.250 0.500 0.799
Zn 0.750 0.500 0.701
Se 0.719 0.500 0.304
Se 0.281 0.000 0.696
Se 0.603 0.000 0.061
Se 0.897 0.500 0.561
Sm 0.977 0.500 0.325
Se 0.544 0.500 0.665
Se 0.456 0.000 0.335
Tl 0.331 0.500 0.502
Tl 0.169 0.000 0.002
Se 0.219 0.500 0.196
Sm 0.477 0.500 0.175
Zn 0.250 0.000 0.299
Se 0.103 0.000 0.439
Se 0.044 0.500 0.835
Se 0.781 0.000 0.804

Computed properties:
Space-group type: Pnma (62)
Raw total energy: -4.229 eV/atom
ρ: 6.830 Mg/m³
Crystal system: orthorhombic
Energy above the lowest structure with this stoichiometry: 0.036 eV/atom

=====

# 6
## YAlCoPt (GGA-PBE)

Data for a geometry-optimized YAlCoPt structure.

a b c (Å): 4.583 4.583 4.583
angles (deg): 60.00 60.00 60.00
Last column: magnetic moment on the atom in μB.
Element x y z (fractional)
Al 0.000 0.000 0.000  -0.01
Y 0.500 0.500 0.500  -0.07
Pt 0.250 0.250 0.250  0.11
Co 0.750 0.750 0.750  1.07

Computed properties:
Space-group type: F-43m (216)
Raw total energy: -6.459 eV/atom
ρ: 9.022 Mg/m³
Crystal system: cubic
Energy above the lowest structure with this stoichiometry: 0.000 eV/atom